# 1
The following is a DFT calculation (PBE-GGA) of AcNd2Cu2Ge2 after structural relaxation. Values from VASP.

```
&SYSTEM
  ibrav = 0, nat = 7, ntyp = 4
/
ATOMIC_SPECIES
Ac 227.00 Ac.upf
Nd 144.24 Nd.upf
Cu 63.55 Cu.upf
Ge 72.64 Ge.upf
ATOMIC_POSITIONS crystal
Ac 0.0000 0.0000 0.0000
Nd 0.1282 0.1282 0.1282
Nd 0.8718 0.8718 0.8718
Cu 0.4070 0.4070 0.4070
Cu 0.5930 0.5930 0.5930
Ge 0.2599 0.2599 0.2599
Ge 0.7401 0.7401 0.7401
CELL_PARAMETERS angstrom
2.1974 1.2687 10.1533
-2.1974 1.2687 10.1533
0.0000 -2.5374 10.1533
```

# 2
The following is a DFT calculation (PBE-GGA) of AcNdCuGe after structural relaxation. Values from VASP.

```
&SYSTEM
  ibrav = 0, nat = 16, ntyp = 4
/
ATOMIC_SPECIES
Ac 227.00 Ac.upf
Nd 144.24 Nd.upf
Cu 63.55 Cu.upf
Ge 72.64 Ge.upf
ATOMIC_POSITIONS crystal
Ac 0.0000 0.0000 0.0000
Ac 0.0000 0.5000 0.5000
Ac 0.5000 0.0000 0.5000
Ac 0.5000 0.5000 0.0000
Nd 0.0000 0.0000 0.5000
Nd 0.0000 0.5000 0.0000
Nd 0.5000 0.0000 0.0000
Nd 0.5000 0.5000 0.5000
Cu 0.2500 0.2500 0.7500
Cu 0.2500 0.7500 0.2500
Cu 0.7500 0.2500 0.2500
Cu 0.7500 0.7500 0.7500
Ge 0.2500 0.2500 0.2500
Ge 0.2500 0.7500 0.7500
Ge 0.7500 0.2500 0.7500
Ge 0.7500 0.7500 0.2500
CELL_PARAMETERS angstrom
7.5084 0.0000 0.0000
0.0000 7.5084 0.0000
0.0000 0.0000 7.5084
```

# 3
The following is a DFT calculation (PBE-GGA) of Ac2Cu3NiGe4 after structural relaxation. Values from VASP.

```
&SYSTEM
  ibrav = 0, nat = 10, ntyp = 4
/
ATOMIC_SPECIES
Ac 227.00 Ac.upf
Cu 63.55 Cu.upf
Ni 58.69 Ni.upf
Ge 72.64 Ge.upf
ATOMIC_POSITIONS crystal
Ac 0.0000 0.5000 0.2444
Ac 0.5000 0.0000 0.7556
Cu 0.0000 0.0000 0.0000
Cu 0.0000 0.5000 0.6275
Cu 0.5000 0.0000 0.3725
Ni 0.5000 0.5000 0.0000
Ge 0.0000 0.0000 0.5000
Ge 0.0000 0.5000 0.8811
Ge 0.5000 0.0000 0.1189
Ge 0.5000 0.5000 0.5000
CELL_PARAMETERS angstrom
4.3771 0.0000 0.0000
0.0000 4.3771 0.0000
0.0000 0.0000 10.0596
```

# 4
The following is a DFT calculation (PBE-GGA) of Ac2CuNi3Ge4 after structural relaxation. Values from VASP.

```
&SYSTEM
  ibrav = 0, nat = 10, ntyp = 4
/
ATOMIC_SPECIES
Ac 227.00 Ac.upf
Cu 63.55 Cu.upf
Ni 58.69 Ni.upf
Ge 72.64 Ge.upf
ATOMIC_POSITIONS crystal
Ac 0.0000 0.5000 0.2484
Ac 0.5000 0.0000 0.7516
Cu 0.5000 0.5000 0.0000
Ni 0.0000 0.0000 0.0000
Ni 0.0000 0.5000 0.6200
Ni 0.5000 0.0000 0.3800
Ge 0.0000 0.0000 0.5000
Ge 0.0000 0.5000 0.8719
Ge 0.5000 0.0000 0.1281
Ge 0.5000 0.5000 0.5000
CELL_PARAMETERS angstrom
4.3252 0.0000 0.0000
0.0000 4.3252 0.0000
0.0000 0.0000 9.9620
```

Quick rundown of total DFT energy (no corrections), same order as above: -4.911; -4.773; -4.981; -5.401 eV/atom